Material: ZrCoF2
Method: DFT, PBE with a Hubbard U
State: optimized geometry

a b c (Å): 3.920 3.920 8.021
angles (deg): 75.86 75.86 90.00
Last column: magnetic moment on the atom in μB.
Element x y z (fractional)
Zr1 0.000 0.000 0.000  -0.35
Zr2 0.750 0.250 0.500  -0.35
F1 0.060 0.625 0.250  -0.01
F2 0.690 0.125 0.250  -0.01
F3 0.375 0.310 0.750  0.00
F4 0.875 0.940 0.750  0.00
Co1 0.500 0.500 0.000  1.82
Co2 0.250 0.750 0.500  1.83

size of the total moment = 0.32 μB/atom
space-group type = I-42d (122)
ΔE to the lowest computed polymorph = 0.083 eV per atom